A plane-wave DFT calculation with GGA-PBE was carried out for a relaxed HfTeIr crystal.

Computed properties:
Space group: No. 6
Total moment (Bohr magnetons per cell): 0.00
Electronic total energy (Ry/atom): -0.575

Lattice parameters (Å, degrees): 5.5114 3.7326 6.9163 90.00 109.21 90.00
Last column: nearest neighbours and their distance in Å.
Element x y z (fractional)
Hf (0.2480, 0.5000, 0.4804)  2 Ir 2.56
Hf (0.7976, 0.0000, 0.6364)  4 Ir 2.69-2.96, 3 Te 2.86-2.95
Te (0.6624, 0.5000, 0.2861)  1 Ir 2.87, 4 Hf 2.95-3.06
Te (0.0904, 0.0000, 0.0628)  3 Ir 2.75-2.88, 1 Hf 2.86
Ir (0.7160, 0.5000, 0.8879)  2 Hf 2.69, 3 Te 2.75-2.87, 2 Ir 2.78
Ir (0.3223, 0.0000, 0.7461)  3 Hf 2.56-2.74, 2 Ir 2.78

---

A plane-wave DFT calculation with GGA-PBE was carried out for a relaxed SmNpFe4 crystal.

Computed properties:
ΔE_f (eV/atom): 0.090
Space group: No. 12
Total moment (Bohr magnetons per cell): 7.16

Lattice parameters (Å, degrees): 6.8794 6.2607 5.8614 122.28 69.82 90.00
Last column: nearest neighbours and their distance in Å.
Element x y z (fractional)
Fe (0.6009, 0.3208, 0.2058)  1 Np 2.15, 1 Fe 2.40
Fe (0.6009, 0.8849, 0.2058)  1 Np 2.15, 1 Fe 2.40
Fe (0.0000, 0.8156, 0.0000)  3 Fe 2.31-2.52
Fe (0.0000, 0.1844, 0.0000)  3 Fe 2.31-2.52
Fe (0.3991, 0.1151, 0.7942)  1 Np 2.15, 1 Fe 2.40
Fe (0.3991, 0.6792, 0.7942)  1 Np 2.15, 1 Fe 2.40
Fe (0.7238, 0.2515, 0.5030)  1 Np 2.20, 2 Fe 2.40
Fe (0.2762, 0.7485, 0.4970)  1 Np 2.20, 2 Fe 2.40
Sm (0.1929, 0.2075, 0.4150)  9 Fe 2.91-3.24, 1 Np 3.20
Sm (0.8071, 0.7925, 0.5850)  9 Fe 2.91-3.24, 1 Np 3.20
Np (0.2715, 0.5280, 0.0559)  3 Fe 2.15-2.20
Np (0.7285, 0.4720, 0.9441)  3 Fe 2.15-2.20

---

A plane-wave DFT calculation with GGA-PBE was carried out for a relaxed NaSi2Pt2 crystal.

Computed properties:
Space group: No. 127
Total moment (Bohr magnetons per cell): 0.00
Electronic total energy (Ry/atom): -0.385

Lattice parameters (Å, degrees): 7.6227 7.6227 2.7197 90.00 90.00 90.00
Last column: nearest neighbours and their distance in Å.
Element x y z (fractional)
Pt (0.3344, 0.1656, 0.5000)  6 Si 2.57-2.66, 2 Pt 2.72
Pt (0.6656, 0.8344, 0.5000)  6 Si 2.57-2.66, 2 Pt 2.72
Pt (0.1656, 0.6656, 0.5000)  6 Si 2.57-2.66, 2 Pt 2.72
Pt (0.8344, 0.3344, 0.5000)  6 Si 2.57-2.66, 2 Pt 2.72
Si (0.1318, 0.3682, 0.0000)  6 Pt 2.57-2.66, 3 Si 2.72-2.84
Si (0.3682, 0.8682, 0.0000)  6 Pt 2.57-2.66, 3 Si 2.72-2.84
Si (0.6318, 0.1318, 0.0000)  6 Pt 2.57-2.66, 3 Si 2.72-2.84
Si (0.8682, 0.6318, 0.0000)  6 Pt 2.57-2.66, 3 Si 2.72-2.84
Na (0.0000, 0.0000, 0.0000)  2 Na 2.72, 4 Si 2.98
Na (0.5000, 0.5000, 0.0000)  2 Na 2.72, 4 Si 2.98

---

Copy entry 1 word for word.
A plane-wave DFT calculation with GGA-PBE was carried out for a relaxed HfTeIr crystal.

Computed properties:
Space group: No. 6
Total moment (Bohr magnetons per cell): 0.00
Electronic total energy (Ry/atom): -0.575

Lattice parameters (Å, degrees): 5.5114 3.7326 6.9163 90.00 109.21 90.00
Last column: nearest neighbours and their distance in Å.
Element x y z (fractional)
Hf (0.2480, 0.5000, 0.4804)  2 Ir 2.56
Hf (0.7976, 0.0000, 0.6364)  4 Ir 2.69-2.96, 3 Te 2.86-2.95
Te (0.6624, 0.5000, 0.2861)  1 Ir 2.87, 4 Hf 2.95-3.06
Te (0.0904, 0.0000, 0.0628)  3 Ir 2.75-2.88, 1 Hf 2.86
Ir (0.7160, 0.5000, 0.8879)  2 Hf 2.69, 3 Te 2.75-2.87, 2 Ir 2.78
Ir (0.3223, 0.0000, 0.7461)  3 Hf 2.56-2.74, 2 Ir 2.78

---

- Which value of total moment does entry 2 give?
  7.16 Bohr magnetons per cell

---

What did the second record say?
A plane-wave DFT calculation with GGA-PBE was carried out for a relaxed SmNpFe4 crystal.

Computed properties:
ΔE_f (eV/atom): 0.090
Space group: No. 12
Total moment (Bohr magnetons per cell): 7.16

Lattice parameters (Å, degrees): 6.8794 6.2607 5.8614 122.28 69.82 90.00
Last column: nearest neighbours and their distance in Å.
Element x y z (fractional)
Fe (0.6009, 0.3208, 0.2058)  1 Np 2.15, 1 Fe 2.40
Fe (0.6009, 0.8849, 0.2058)  1 Np 2.15, 1 Fe 2.40
Fe (0.0000, 0.8156, 0.0000)  3 Fe 2.31-2.52
Fe (0.0000, 0.1844, 0.0000)  3 Fe 2.31-2.52
Fe (0.3991, 0.1151, 0.7942)  1 Np 2.15, 1 Fe 2.40
Fe (0.3991, 0.6792, 0.7942)  1 Np 2.15, 1 Fe 2.40
Fe (0.7238, 0.2515, 0.5030)  1 Np 2.20, 2 Fe 2.40
Fe (0.2762, 0.7485, 0.4970)  1 Np 2.20, 2 Fe 2.40
Sm (0.1929, 0.2075, 0.4150)  9 Fe 2.91-3.24, 1 Np 3.20
Sm (0.8071, 0.7925, 0.5850)  9 Fe 2.91-3.24, 1 Np 3.20
Np (0.2715, 0.5280, 0.0559)  3 Fe 2.15-2.20
Np (0.7285, 0.4720, 0.9441)  3 Fe 2.15-2.20